[1]
Ga3RhS | Alexandria | GGA-PBE | optimized geometry; Fermi-level density of states = 1.9 states/eV per cell; DFT total energy = -21.303 eV per formula unit
1.0
-4.520 1.211 0.913
-1.515 -3.452 -2.918
-0.080 -3.056 3.658
S Rh Ga
1 1 3
Cartesian
-3.057 -2.649 0.827
0.000 0.000 0.000
-0.758 -1.726 -1.459
-0.040 -1.528 1.829
-2.260 0.606 0.457


[2]
Ga3RhS | Alexandria | GGA-PBE | optimized geometry; Fermi-level density of states = 1.4 states/eV per cell; DFT total energy = -17.427 eV per formula unit
1.0
4.657 0.000 0.000
0.000 4.657 0.000
0.000 0.000 4.657
S Rh Ga
1 1 3
Cartesian
0.000 0.000 0.000
2.328 2.328 2.328
0.000 2.328 0.000
0.000 0.000 2.328
2.328 0.000 0.000


[3]
GaRh2S2 | Alexandria | GGA-PBE | optimized geometry; Fermi-level density of states = 6.7 states/eV per cell; DFT total energy = -23.021 eV per formula unit
1.0
4.536 0.000 0.000
0.000 4.536 0.000
0.000 0.000 5.011
S Rh Ga
2 2 1
Cartesian
0.000 2.268 0.000
2.268 0.000 0.000
0.000 0.000 0.000
0.000 0.000 2.505
2.268 2.268 2.505


[4]
Ga2RhS | Alexandria | GGA-PBE | optimized geometry; Fermi-level density of states = 6.0 states/eV per cell; DFT total energy = -18.098 eV per formula unit
1.0
-5.008 2.979 1.209
-2.634 -2.517 -4.705
-5.321 -3.425 1.047
S Rh Ga
2 2 4
Cartesian
-3.821 0.231 -1.748
-5.888 -2.855 -2.703
0.000 0.000 0.000
-7.075 -0.107 0.254
-4.809 0.703 0.434
-3.582 -2.069 -2.533
-6.846 -2.385 -0.507
-10.688 -2.174 -2.292


[5]
Ga2Rh2S | Alexandria | GGA-PBE | optimized geometry; Fermi-level density of states = 6.1 states/eV per cell; DFT total energy = -26.387 eV per formula unit
1.0
-4.658 -0.627 5.364
5.074 -2.934 4.063
0.776 2.713 0.991
S Rh Ga
2 4 4
Cartesian
0.000 0.000 0.000
0.208 -1.780 4.713
2.680 -2.698 5.290
-0.619 -2.450 7.195
-2.265 -0.863 4.137
1.035 -1.111 2.232
2.984 -0.623 3.885
1.731 -1.558 7.428
-1.793 -0.224 6.533
-0.540 0.711 2.990


[6]
Tl2GaRhS | Alexandria | GGA-PBE | optimized geometry; Fermi-level density of states = 7.8 states/eV per cell; DFT total energy = -15.484 eV per formula unit
1.0
-3.934 -1.852 -3.320
-1.802 -2.361 3.453
-3.124 4.296 1.307
Tl Rh S Ga
2 1 1 1
Cartesian
-1.562 2.148 0.653
-1.967 -0.926 -1.660
-4.430 0.042 0.720
-0.901 -1.181 1.727
0.000 0.000 0.000


[7]
GaSb3Rh | Alexandria | GGA-PBE | optimized geometry; Fermi-level density of states = 6.9 states/eV per cell; DFT total energy = -21.059 eV per formula unit
1.0
5.195 0.000 0.000
0.000 5.195 0.000
0.000 0.000 5.195
Sb Rh Ga
3 1 1
Cartesian
0.000 2.597 0.000
0.000 0.000 2.597
2.597 0.000 0.000
0.000 0.000 0.000
2.597 2.597 2.597


[8]
Ga3SbRh | Alexandria | GGA-PBE | optimized geometry; Fermi-level density of states = 4.3 states/eV per cell; DFT total energy = -20.796 eV per formula unit
1.0
-0.748 -4.335 1.964
3.151 1.039 3.492
-3.566 1.827 2.674
Sb Rh Ga
1 1 3
Cartesian
-0.581 -0.734 4.066
0.000 0.000 0.000
1.576 0.520 1.746
-1.783 0.913 1.337
-0.374 -2.167 0.982


[9]
Ga2SbRh2 | Alexandria | GGA-PBE | optimized geometry; Fermi-level density of states = 5.5 states/eV per cell; DFT total energy = -27.031 eV per formula unit
1.0
-4.309 -0.023 6.075
-2.298 -6.888 -1.656
2.249 -1.133 1.591
Sb Rh Ga
2 4 4
Cartesian
0.000 0.000 0.000
-3.304 -3.456 2.209
-3.450 -5.850 0.710
-5.153 -4.509 4.073
-3.158 -1.061 3.708
-1.454 -2.402 0.346
-0.965 -4.995 0.597
-3.615 -6.489 3.277
-3.393 -3.049 5.413
-0.744 -1.555 2.732


[10]
Ga2SbRh2 | Alexandria | GGA-PBE | optimized geometry; Fermi-level density of states = 2.0 states/eV per cell; DFT total energy = -26.842 eV per formula unit
1.0
-2.743 -1.927 1.454
2.349 -2.638 0.936
0.774 0.577 6.818
Sb Rh Ga
1 2 2
Cartesian
0.000 0.000 0.000
0.015 -1.657 2.424
0.365 -2.330 6.784
-1.083 -1.816 4.733
1.463 -2.171 4.474


[11]
Ga2SbRh5 | Alexandria | GGA-PBE | optimized geometry; Fermi-level density of states = 11.3 states/eV per cell; DFT total energy = -50.718 eV per formula unit
1.0
4.197 0.000 0.000
0.000 5.504 0.000
0.000 0.000 10.476
Ga Sb Rh
4 2 10
Cartesian
2.098 2.074 3.705
2.098 3.430 6.771
2.098 0.678 8.943
2.098 4.826 1.533
0.000 0.000 5.238
0.000 2.752 0.000
2.098 1.797 1.157
2.098 3.707 9.319
2.098 4.549 4.081
2.098 0.955 6.395
0.000 4.696 7.659
0.000 0.809 2.817
0.000 1.944 8.055
0.000 3.561 2.421
0.000 2.752 5.238
0.000 0.000 0.000


[12]
GaSb2Rh | Alexandria | GGA-PBE | optimized geometry; Fermi-level density of states = 4.9 states/eV per cell; DFT total energy = -18.689 eV per formula unit
1.0
-3.331 -2.285 -4.572
4.670 -3.579 -1.614
-1.391 -7.276 0.580
Sb Rh Ga
4 2 2
Cartesian
-1.932 -3.754 -3.033
2.241 -4.283 -1.317
-0.662 -7.564 -1.843
0.249 -10.682 -5.020
0.000 0.000 0.000
-2.027 -6.247 -3.543
0.669 -2.932 -3.093
1.974 -6.894 -2.063